No. 1
Computed, not measured: an optimized crystal structure of PuZrH2 at the PBE level of DFT.

Symmetry ... R-3m (166)
Total magnetization ... 6.0 μB/f.u.
Offset from the most stable computed form ... 0 meV per atom
Fermi-level density of states ... 4.805 states/eV per cell

a b c (Å): 3.278 3.278 5.977
angles (deg): 74.08 74.08 60.00
Last column: magnetic moment on the atom in μB.
Fractional positions:
H: 0.768 0.768 0.695  -0.01
Zr: 0.500 0.500 0.500  0.05
H: 0.232 0.232 0.305  -0.01
Pu: 0.000 0.000 0.000  5.52


No. 2
Computed, not measured: an optimized crystal structure of Ba2AgPt at the PBE level of DFT.

Symmetry ... Amm2 (38)
Total magnetization ... 0.0 μB/f.u.
Fermi-level density of states ... 1.723 states/eV per cell
Calculated formation energy ... -0.507 eV/atom

a b c (Å): 6.492 6.492 4.814
angles (deg): 89.99 89.99 40.97
Fractional positions:
Ba: 0.265 0.265 0.375
Ag: 0.693 0.693 0.875
Pt: 0.553 0.553 0.375
Ba: 0.989 0.989 0.875


No. 3
Computed, not measured: an optimized crystal structure of Mg2AgSn at the PBE level of DFT.

Symmetry ... P4/mmm (123)
Total magnetization ... 0.0 μB/f.u.
Fermi-level density of states ... 1.420 states/eV per cell
Calculated formation energy ... -0.167 eV/atom

a b c (Å): 3.416 3.416 7.302
angles (deg): 90.00 90.00 90.00
Fractional positions:
Mg: 0.000 0.000 0.785
Ag: 0.500 0.500 0.000
Sn: 0.500 0.500 0.500
Mg: 0.000 0.000 0.215


No. 4
Computed, not measured: an optimized crystal structure of Dy3GaIr3 at the PBE level of DFT.

Symmetry ... Cmcm (63)
Total magnetization ... 0.0 μB/f.u.
Fermi-level density of states ... 7.537 states/eV per cell
Calculated formation energy ... -0.855 eV/atom

a b c (Å): 4.146 5.533 13.721
angles (deg): 90.00 90.00 112.00
Fractional positions:
Ir: 0.087 0.173 0.411
Ir: 0.234 0.469 0.250
Dy: 0.797 0.594 0.394
Dy: 0.484 0.967 0.750
Ir: 0.913 0.827 0.589
Ir: 0.913 0.827 0.911
Ir: 0.766 0.531 0.750
Dy: 0.203 0.406 0.606
Ir: 0.087 0.173 0.089
Ga: 0.500 0.000 0.500
Dy: 0.203 0.406 0.894
Dy: 0.516 0.033 0.250
Ga: 0.500 0.000 0.000
Dy: 0.797 0.594 0.106


No. 5
Computed, not measured: an optimized crystal structure of Ca2ZnPb at the PBE level of DFT.

Symmetry ... Immm (71)
Total magnetization ... 0.0 μB/f.u.
Fermi-level density of states ... 3.968 states/eV per cell
Calculated formation energy ... 0.264 eV/atom

a b c (Å): 7.200 7.200 7.200
angles (deg): 58.66 150.68 130.40
Fractional positions:
Pb: 0.000 0.500 0.500
Ca: 0.000 0.767 0.767
Zn: 0.000 0.000 0.000
Ca: 0.000 0.233 0.233


No. 6
Computed, not measured: an optimized crystal structure of Ta2MoPt at the PBE level of DFT.

Symmetry ... R-3m (166)
Total magnetization ... 0.0 μB/f.u.
Fermi-level density of states ... 3.631 states/eV per cell
Calculated formation energy ... -0.020 eV/atom

a b c (Å): 9.882 9.882 9.882
angles (deg): 16.56 16.56 16.56
Fractional positions:
Pt: 0.750 0.750 0.750
Mo: 0.250 0.250 0.250
Ta: 0.003 0.003 0.003
Ta: 0.497 0.497 0.497


Which formula does entry 4 have? Dy3GaIr3


total magnetization of number 3 (Mg2AgSn)? 0.0 μB/f.u.